Record 1
Material: Rb2Mn3Te4
Method: DFT, PBE
State: optimized geometry

Properties
Crystal system = orthorhombic
DFT total energy = -5.1424 eV/atom

Unit cell a=6.5543 b=12.8758 c=15.2239 alpha=90.00 beta=90.00 gamma=90.00
Last column: nearest neighbours and their distance in Å.
Space group Ibam (No. 72)
Unique sites:
Rb  0.2366  0.1246  0.0000 (multiplicity 8)  8 Te 3.85-3.98
Mn  0.0000  0.2370  0.2500 (multiplicity 8)  4 Te 2.76-2.79
Mn  0.0000  0.5000  0.2500 (multiplicity 4)  4 Te 2.77
Te  0.2303  0.3703  0.1444 (multiplicity 16)  3 Mn 2.76-2.79

Record 2
Material: Rb3MnTe
Method: DFT, PBE
State: optimized geometry

Properties
Energy relative to the lowest polymorph listed for this composition = 0 meV/atom
Crystal system = cubic

Unit cell a=7.0089 b=7.0089 c=7.0089 alpha=90.00 beta=90.00 gamma=90.00
Last column: nearest neighbours and their distance in Å.
Space group Pm-3m (No. 221)
Unique sites:
Rb  0.0000  0.0000  0.5000 (multiplicity 3)  2 Te 3.50
Mn  0.5000  0.5000  0.5000 (multiplicity 1)  12 Rb 4.96
Te  0.0000  0.0000  0.0000 (multiplicity 1)  6 Rb 3.50

Record 3
Material: RbMn3Te
Method: DFT, PBE
State: optimized geometry

Properties
Energy relative to the lowest polymorph listed for this composition = 0 meV/atom
Crystal system = cubic

Unit cell a=5.1339 b=5.1339 c=5.1339 alpha=90.00 beta=90.00 gamma=90.00
Last column: nearest neighbours and their distance in Å.
Space group Pm-3m (No. 221)
Unique sites:
Rb  0.0000  0.0000  0.0000 (multiplicity 1)  12 Mn 3.63
Mn  0.0000  0.5000  0.5000 (multiplicity 3)  2 Te 2.57
Te  0.5000  0.5000  0.5000 (multiplicity 1)  6 Mn 2.57

What did we get for size of the total moment? Answer: 1.670 0.908 2.011 μB/atom, in the order shown.